NaSnBiH2 | PBE | relaxed

a = 4.261 Å, b = 6.434 Å, c = 4.261 Å
α = 90.00°, β = 90.00°, γ = 90.00°
Sites, in units of the cell vectors:
Na1 0.000 0.500 0.000
Bi1 0.000 0.000 0.000
H1 0.000 0.000 0.500
H2 0.500 0.000 0.000
Sn1 0.500 0.500 0.500

## Properties
Raw total energy (Ry/atom): -0.1956
M_tot (μB per cell): 0.0
Symmetry: P4/mmm, No. 123

***

NdDyAlSn | PBE | relaxed

a = 5.317 Å, b = 5.317 Å, c = 5.317 Å
α = 60.00°, β = 60.00°, γ = 60.00°
Sites, in units of the cell vectors:
Al1 0.000 0.000 0.000
Nd1 0.250 0.250 0.250
Sn1 0.500 0.500 0.500
Dy1 0.750 0.750 0.750

## Properties
Raw total energy (Ry/atom): -0.3468
M_tot (μB per cell): 0.0
Symmetry: F-43m, No. 216
Calculated formation energy (eV per formula unit): -1.76

***

BIr2Ru | PBE | relaxed

a = 2.726 Å, b = 2.726 Å, c = 6.599 Å
α = 90.00°, β = 90.00°, γ = 90.00°
Sites, in units of the cell vectors:
Ru1 0.500 0.500 0.500
B1 0.500 0.500 0.000
Ir1 0.000 0.000 0.798
Ir2 0.000 0.000 0.202

## Properties
Raw total energy (Ry/atom): -0.6186
M_tot (μB per cell): 0.0
Symmetry: P4/mmm, No. 123
Calculated formation energy (eV per formula unit): 0.01

***

Cs2NaH4Pd | PBE | relaxed

a = 5.676 Å, b = 6.472 Å, c = 12.556 Å
α = 84.31°, β = 76.94°, γ = 63.99°
Sites, in units of the cell vectors:
Cs1 0.172 0.000 0.657
Cs2 0.828 0.000 0.343
Cs3 0.578 0.500 0.843
Cs4 0.922 0.500 0.157
Na1 0.750 0.500 0.500
Na2 0.000 0.000 0.000
H1 0.274 0.958 0.105
H2 0.338 0.042 0.895
H3 0.767 0.958 0.895
H4 0.621 0.042 0.105
H5 0.476 0.542 0.395
H6 0.412 0.458 0.605
H7 0.983 0.542 0.605
H8 0.129 0.458 0.395
Pd1 0.250 0.500 0.500
Pd2 0.500 0.000 0.000

## Properties
Raw total energy (Ry/atom): -0.2095
M_tot (μB per cell): 0.0
Symmetry: Fddd, No. 70